Material: MnBiF5
Method: DFT, PBE with a Hubbard U
State: relaxed

Properties
N(E_F) ... 0.000 states/eV/f.u.
Final energy ... -0.40044 Ry/atom
Total magnetization ... 0.714 μB/atom

Cell: 7.096 7.077 7.662 Å, 90.00 95.52 90.00°
Space group C2/c (No. 15)
One atom of each set of equivalent atoms:
Mn1 0.000 0.000 0.000 (multiplicity 4)
Bi1 0.000 0.483 0.250 (multiplicity 4)
F1 0.000 0.140 0.750 (multiplicity 4)
F2 0.132 0.228 0.146 (multiplicity 8)
F3 0.193 0.431 0.506 (multiplicity 8)